The following is a DFT calculation (PBE) of a relaxed Tm3ZrN4 crystal.

Results
DOS at the Fermi energy: 0.1315 states/eV per atom
Calculated total energy: -69.867 eV/cell
ΔE to the lowest computed polymorph: 0.0000 eV/atom
Raw formation energy: -1.825 eV/atom

abc: 3.3535 5.8134 5.8134
angles: 109.33 90.00 90.00
Positions (direct):
Tm: 0.0000 0.0000 0.5000
Tm: 0.5000 0.5000 0.5000
Tm: 0.0000 0.5000 0.0000
Zr: 0.5000 0.0000 0.0000
N: 0.0000 0.2416 0.2416
N: 0.5000 0.7553 0.2447
N: 0.0000 0.7584 0.7584
N: 0.5000 0.2447 0.7553

The following is a DFT calculation (PBE) of a relaxed ThTiSb3 crystal.

Results
DOS at the Fermi energy: 0.4350 states/eV per atom
Calculated total energy: -123.609 eV/cell
Raw formation energy: -0.644 eV/atom

abc: 6.1847 6.3717 13.2688
angles: 90.00 90.00 90.00
Positions (direct):
Th: 0.7500 0.4963 0.6865
Th: 0.2500 0.5037 0.3135
Th: 0.7500 0.9963 0.3135
Th: 0.2500 0.0037 0.6865
Ti: 0.5000 0.2500 0.0881
Ti: 0.0000 0.7500 0.9119
Ti: 0.5000 0.7500 0.9119
Ti: 0.0000 0.2500 0.0881
Sb: 0.0000 0.2500 0.4989
Sb: 0.5000 0.7500 0.5011
Sb: 0.0000 0.7500 0.5011
Sb: 0.5000 0.2500 0.4989
Sb: 0.2500 0.1071 0.9279
Sb: 0.7500 0.8929 0.0721
Sb: 0.2500 0.6071 0.0721
Sb: 0.7500 0.3929 0.9279
Sb: 0.2500 0.5081 0.7682
Sb: 0.7500 0.4919 0.2318
Sb: 0.2500 0.0081 0.2318
Sb: 0.7500 0.9919 0.7682

The following is a DFT calculation (PBE) of a relaxed LaHoEr5 crystal.

Results
Calculated formation energy: 1.141 eV per atom
DOS at the Fermi energy: 1.3275 states/eV per atom
Calculated total energy: -24.333 eV/cell
ΔE to the lowest computed polymorph: 0.9654 eV/atom

abc: 5.7805 7.8602 7.8602
angles: 66.27 68.43 68.43
Positions (direct):
La: 0.0000 0.0000 0.0000
Ho: 0.5000 0.5000 0.5000
Er: 0.5000 0.1788 0.8212
Er: 0.5000 0.8212 0.1788
Er: 0.7458 0.2542 0.2542
Er: 0.2542 0.7458 0.7458
Er: 0.0000 0.5000 0.5000

The following is a DFT calculation (PBE) of a relaxed Nd5Ir2Pd2 crystal.

Results
Calculated formation energy: -0.670 eV per atom
DOS at the Fermi energy: 0.5538 states/eV per atom
Calculated total energy: -115.952 eV/cell
ΔE to the lowest computed polymorph: 0.0000 eV/atom

abc: 7.8011 7.8446 8.4613
angles: 117.62 90.00 90.00
Positions (direct):
Nd: 0.0000 0.0000 0.0000
Nd: 0.5000 0.5000 0.0000
Nd: 0.8336 0.8041 0.2641
Nd: 0.1664 0.4600 0.2641
Nd: 0.3336 0.9600 0.2641
Nd: 0.6664 0.3041 0.2641
Nd: 0.1664 0.1959 0.7359
Nd: 0.8336 0.5400 0.7359
Nd: 0.6664 0.0400 0.7359
Nd: 0.3336 0.6959 0.7359
Ir: 0.6297 0.8694 0.0000
Ir: 0.3703 0.1306 0.0000
Ir: 0.1297 0.6306 0.0000
Ir: 0.8703 0.3694 0.0000
Pd: 0.0000 0.2054 0.4108
Pd: 0.5000 0.7054 0.4108
Pd: 0.0000 0.7946 0.5892
Pd: 0.5000 0.2946 0.5892

calculated total energy of number 4 (Nd5Ir2Pd2)?
-115.952 eV/cell

Repeat the second record exactly.
The following is a DFT calculation (PBE) of a relaxed ThTiSb3 crystal.

Results
DOS at the Fermi energy: 0.4350 states/eV per atom
Calculated total energy: -123.609 eV/cell
Raw formation energy: -0.644 eV/atom

abc: 6.1847 6.3717 13.2688
angles: 90.00 90.00 90.00
Positions (direct):
Th: 0.7500 0.4963 0.6865
Th: 0.2500 0.5037 0.3135
Th: 0.7500 0.9963 0.3135
Th: 0.2500 0.0037 0.6865
Ti: 0.5000 0.2500 0.0881
Ti: 0.0000 0.7500 0.9119
Ti: 0.5000 0.7500 0.9119
Ti: 0.0000 0.2500 0.0881
Sb: 0.0000 0.2500 0.4989
Sb: 0.5000 0.7500 0.5011
Sb: 0.0000 0.7500 0.5011
Sb: 0.5000 0.2500 0.4989
Sb: 0.2500 0.1071 0.9279
Sb: 0.7500 0.8929 0.0721
Sb: 0.2500 0.6071 0.0721
Sb: 0.7500 0.3929 0.9279
Sb: 0.2500 0.5081 0.7682
Sb: 0.7500 0.4919 0.2318
Sb: 0.2500 0.0081 0.2318
Sb: 0.7500 0.9919 0.7682